Below is a relaxed structure of PbBr2Cl, with properties calculated at the PBE level.

```
data_PbBr2Cl
_space_group_name_H-M_alt 'P 1'
_space_group_IT_number 1
_cell_length_a 9.268
_cell_length_b 9.268
_cell_length_c 9.268
_cell_angle_alpha 28.79
_cell_angle_beta 28.79
_cell_angle_gamma 28.79
loop_
_space_group_symop_operation_xyz
'x,y,z'
loop_
_atom_site_label
_atom_site_type_symbol
_atom_site_fract_x
_atom_site_fract_y
_atom_site_fract_z
_atom_site_occupancy
Pb1 Pb 0.500 0.500 0.500 1
Br1 Br 0.892 0.892 0.892 1
Br2 Br 0.108 0.108 0.108 1
Cl1 Cl 0.000 0.000 0.000 1
```

Output
The calculation puts the density at 4.09 g/cm3. As for the crystal system: trigonal. The calculation puts the uncorrected formation energy at -421.6 meV/atom. For the density of states at the Fermi level, the calculation gives 0.00 states/eV per atom. The magnetic moment is 1.000 Bohr magnetons per cell. As for the energy above the most stable polymorph in this dataset: 205.7 meV/atom. The calculation puts the total energy at -2.647 eV per atom. As for the symmetry: No. 166.